Record 1
VASP calculation (PBE-GGA) on a relaxed structure of Pr4GaRhBr2.

Structure (CIF):
```
data_Pr4GaRhBr2
_space_group_name_H-M_alt 'P 1 2/m 1'
_space_group_IT_number 10
_space_group_name_Hall '-P 2y'
_cell_length_a 7.6763
_cell_length_b 4.1077
_cell_length_c 8.0469
_cell_angle_alpha 90.00
_cell_angle_beta 107.42
_cell_angle_gamma 90.00
loop_
_atom_site_label
_atom_site_type_symbol
_atom_site_fract_x
_atom_site_fract_y
_atom_site_fract_z
Pr1 Pr 0.2307 0.0000 0.2013
Pr2 Pr 0.2392 0.5000 0.7915
Ga1 Ga 0.5000 0.0000 0.0000
Rh1 Rh 0.0000 0.5000 0.0000
Br1 Br 0.0000 0.0000 0.5000
Br2 Br 0.5000 0.5000 0.5000
```

Values from the calculation:
M_tot: 0.0 μB per formula unit
ΔE_f (raw): -0.944 eV per atom


Record 2
VASP calculation (PBE-GGA) on a relaxed structure of Pr8GaRu3Br4.

Structure (CIF):
```
data_Pr8GaRu3Br4
_space_group_name_H-M_alt 'R -3 m'
_space_group_IT_number 166
_space_group_name_Hall '-R 3 2"'
_cell_length_a 8.3988
_cell_length_b 8.3988
_cell_length_c 23.5053
_cell_angle_alpha 90.00
_cell_angle_beta 90.00
_cell_angle_gamma 120.00
loop_
_atom_site_label
_atom_site_type_symbol
_atom_site_fract_x
_atom_site_fract_y
_atom_site_fract_z
Pr1 Pr 0.0000 0.0000 0.2353
Pr2 Pr 0.0154 0.5077 0.7685
Ga1 Ga 0.0000 0.0000 0.5000
Ru1 Ru 0.0000 0.5000 0.5000
Br1 Br 0.0000 0.0000 0.0000
Br2 Br 0.0000 0.5000 0.0000
```

Values from the calculation:
M_tot: 0.0 μB per formula unit
ΔE_f (raw): -0.807 eV per atom


Q: M_tot of number 1 (Pr4GaRhBr2)?
A: 0.0 μB per formula unit